Density functional theory data (PBE-GGA) for a relaxed AcYEr crystal.

The calculation puts the total moment at 0.00 μB/f.u. Its calculated total energy is -0.324 Ry per atom. For the energy relative to the elements, the calculation gives 631 meV/atom.

The structure belongs to space group Cmmm (No. 65); the cell edges are 11.5188, 12.2546 and 3.6115 Å and the angles 90.00°, 90.00° and 90.00°. The distinct sites, in fractional coordinates, are Ac at (0.0000, 0.2376, 0.0000), Y at (0.2365, 0.5000, 0.5000), Er at (0.0000, 0.0000, 0.5000) and Er at (0.0000, 0.5000, 0.0000).